Entry 1:
DFT (PBE-GGA) results for TePI2O after structural relaxation.

Values from the calculation:
formation energy (no corrections): 0.450 eV per atom
excess energy over the best structure of this formula in the dataset: 403.0 meV/atom
symmetry: P4/mmm (123)
raw total energy: -2.87 eV per atom

Unit cell a=6.1510 b=6.1510 c=4.0652 alpha=90.00 beta=90.00 gamma=90.00
Last column: nearest neighbours and their distance in Å.
Fractional positions:
1 Te 0.0000 0.0000 0.0000  2 O 2.03
2 P 0.5000 0.5000 0.5000  8 I 3.69, 2 P 4.07
3 I 0.0000 0.5000 0.0000  2 Te 3.08
4 I 0.5000 0.0000 0.0000  2 Te 3.08
5 O 0.0000 0.0000 0.5000  2 Te 2.03

***

Entry 2:
DFT (PBE-GGA) results for LiPrPd3 after structural relaxation.

Values from the calculation:
excess energy over the best structure of this formula in the dataset: 97.0 meV/atom
formation enthalpy at 0 K: -0.4723 eV per atom
symmetry: Pm-3m (221)
raw total energy: -4.93 eV per atom

Unit cell a=4.4724 b=4.4724 c=4.4724 alpha=90.00 beta=90.00 gamma=90.00
Last column: nearest neighbours and their distance in Å.
Fractional positions:
1 Li 0.0000 0.0000 0.0000  6 Pd 2.24
2 Pr 0.5000 0.5000 0.5000  12 Pd 3.16
3 Pd 0.0000 0.0000 0.5000  2 Li 2.24
4 Pd 0.0000 0.5000 0.0000  2 Li 2.24
5 Pd 0.5000 0.0000 0.0000  2 Li 2.24

***

Entry 3:
DFT (PBE-GGA) results for Na2RuW after structural relaxation.

Values from the calculation:
excess energy over the best structure of this formula in the dataset: 0.0 meV/atom
formation enthalpy at 0 K: 1.5830 eV per atom
symmetry: I-42d (122)
raw total energy: -4.63 eV per atom

Unit cell a=6.3524 b=6.3524 c=6.3524 alpha=98.39 beta=98.39 gamma=135.10
Last column: nearest neighbours and their distance in Å.
Fractional positions:
1 Na 0.0971 0.6250 0.9721  2 Na 2.47
2 Na 0.3750 0.3471 0.4721  2 Na 2.47
3 Na 0.6529 0.1250 0.0279  2 Na 2.47
4 Na 0.8750 0.9029 0.5279  2 Na 2.47
5 Ru 0.0000 0.0000 0.0000  2 W 2.43
6 Ru 0.7500 0.2500 0.5000  2 W 2.43
7 W 0.2500 0.7500 0.5000  2 Ru 2.43
8 W 0.5000 0.5000 0.0000  2 Ru 2.43

***

Entry 4:
DFT (PBE-GGA) results for V3NiPb after structural relaxation.

Values from the calculation:
excess energy over the best structure of this formula in the dataset: 1357.4 meV/atom
formation enthalpy at 0 K: 2.0633 eV per atom
symmetry: Pm-3m (221)
raw total energy: -5.31 eV per atom

Unit cell a=5.1264 b=5.1264 c=5.1264 alpha=90.00 beta=90.00 gamma=90.00
Last column: nearest neighbours and their distance in Å.
Fractional positions:
1 V 0.0000 0.0000 0.5000  2 Pb 2.56
2 V 0.0000 0.5000 0.0000  2 Pb 2.56
3 V 0.5000 0.0000 0.0000  2 Pb 2.56
4 Ni 0.5000 0.5000 0.5000  12 V 3.62
5 Pb 0.0000 0.0000 0.0000  6 V 2.56

***

Entry 5:
DFT (PBE-GGA) results for RbZnGeSe after structural relaxation.

Values from the calculation:
formation energy (no corrections): -0.308 eV per atom
excess energy over the best structure of this formula in the dataset: 8.2 meV/atom
symmetry: Pm (6)
raw total energy: -2.89 eV per atom

Unit cell a=4.6313 b=5.1760 c=5.8501 alpha=90.00 beta=109.33 gamma=90.00
Last column: nearest neighbours and their distance in Å.
Fractional positions:
1 Rb 0.0000 0.0000 0.0000  4 Se 3.42-3.54
2 Zn 0.8731 0.5000 0.4500  2 Ge 2.44-2.48, 1 Se 2.50
3 Ge 0.4324 0.5000 0.6002  2 Zn 2.44-2.48, 1 Se 2.45
4 Se 0.4930 0.5000 0.0320  1 Ge 2.45, 1 Zn 2.50

***

Entry 6:
DFT (PBE-GGA) results for GePH3 after structural relaxation.

Values from the calculation:
excess energy over the best structure of this formula in the dataset: 247.7 meV/atom
symmetry: Pm-3m (221)
raw total energy: -3.08 eV per atom

Unit cell a=3.6473 b=3.6473 c=3.6473 alpha=90.00 beta=90.00 gamma=90.00
Last column: nearest neighbours and their distance in Å.
Fractional positions:
1 Ge 0.0000 0.0000 0.0000  6 H 1.82
2 P 0.5000 0.5000 0.5000  12 H 2.58
3 H 0.0000 0.0000 0.5000  2 Ge 1.82
4 H 0.0000 0.5000 0.0000  2 Ge 1.82
5 H 0.5000 0.0000 0.0000  2 Ge 1.82

***

Entry 7:
DFT (PBE-GGA) results for SiAg3F6 after structural relaxation.

Values from the calculation:
formation energy (no corrections): -1.818 eV per atom
excess energy over the best structure of this formula in the dataset: 73.6 meV/atom
symmetry: Fmmm (69)
raw total energy: -4.34 eV per atom

Unit cell a=6.7169 b=6.2165 c=5.5500 alpha=69.35 beta=60.00 gamma=50.64
Last column: nearest neighbours and their distance in Å.
Fractional positions:
1 Si 0.0000 0.0000 0.0000  6 F 1.71-1.73
2 Ag 0.2500 0.2500 0.2500  4 F 2.60
3 Ag 0.5000 0.5000 0.5000  6 F 2.57-2.61
4 Ag 0.7500 0.7500 0.7500  4 F 2.60
5 F 0.0563 0.7051 0.9437  1 Si 1.73
6 F 0.1977 0.8023 0.1977  1 Si 1.71
7 F 0.2949 0.9437 0.7051  1 Si 1.73
8 F 0.7051 0.0563 0.2949  1 Si 1.73
9 F 0.8023 0.1977 0.8023  1 Si 1.71
10 F 0.9437 0.2949 0.0563  1 Si 1.73

***

Entry 8:
DFT (PBE-GGA) results for PuZnGa4 after structural relaxation.

Values from the calculation:
formation enthalpy at 0 K: -0.2121 eV per atom
symmetry: P6/mmm (191)
raw total energy: -4.83 eV per atom

Unit cell a=4.4754 b=4.4754 c=6.4843 alpha=90.00 beta=90.00 gamma=120.00
Last column: nearest neighbours and their distance in Å.
Fractional positions:
1 Pu 0.0000 0.0000 0.0000  12 Ga 3.13, 2 Zn 3.24
2 Zn 0.0000 0.0000 0.5000  12 Ga 2.98, 2 Pu 3.24
3 Ga 0.3333 0.6667 0.2713  3 Ga 2.58
4 Ga 0.3333 0.6667 0.7287  3 Ga 2.58
5 Ga 0.6667 0.3333 0.2713  3 Ga 2.58
6 Ga 0.6667 0.3333 0.7287  3 Ga 2.58

***

Number 1: V 153.8 Å³/cell. Number 2: V 89.5 Å³/cell. Number 3: V 167.2 Å³/cell. Number 4: V 134.7 Å³/cell. Number 5: V 132.3 Å³/cell. Number 6: V 48.5 Å³/cell. Number 7: V 155.0 Å³/cell. Number 8: V 112.5 Å³/cell.